VASP calculation (GGA-PBE) on a relaxed structure of Sm2Sn3PdPt4.

Lattice parameters (Å, degrees): 4.1595 4.1595 12.3853 90.00 90.00 90.00
Closest atoms and distances in Å follow each position.
Fractional coordinates of all 10 atoms:
Sn: 0.0000 0.5000 0.1360  5 Pt 2.60-2.68
Sn: 0.5000 0.0000 0.8640  5 Pt 2.60-2.68
Sn: 0.0000 0.0000 0.5000  4 Pt 2.82, 4 Pd 2.94
Pt: 0.5000 0.0000 0.6540  3 Sn 2.60-2.82, 2 Pd 2.82
Pt: 0.0000 0.0000 0.0000  4 Sn 2.68, 4 Pt 2.94
Pt: 0.5000 0.5000 0.0000  4 Sn 2.68, 4 Pt 2.94
Pt: 0.0000 0.5000 0.3460  3 Sn 2.60-2.82, 2 Pd 2.82
Sm: 0.0000 0.5000 0.7240  4 Pt 3.07, 4 Sn 3.41
Sm: 0.5000 0.0000 0.2760  4 Pt 3.07, 4 Sn 3.41
Pd: 0.5000 0.5000 0.5000  4 Pt 2.82, 4 Sn 2.94

Properties
DFT formation energy = -0.789 eV/atom
space group = P-4m2, No. 115
E_tot = -5.87 eV/atom

VASP calculation (GGA-PBE) on a relaxed structure of CaCdCoS2.

Lattice parameters (Å, degrees): 4.9154 5.8876 4.9154 90.00 90.00 90.00
Closest atoms and distances in Å follow each position.
Fractional coordinates of all 5 atoms:
S: 0.0000 0.0000 0.5000  2 Cd 2.46
S: 0.5000 0.0000 0.0000  2 Cd 2.46
Ca: 0.0000 0.5000 0.0000  2 Cd 2.94
Co: 0.5000 0.5000 0.5000  4 Ca 3.48, 8 S 3.83
Cd: 0.0000 0.0000 0.0000  4 S 2.46

Properties
space group = P4/mmm, No. 123
E_tot = -2.87 eV/atom
formation energy (no corrections) = 3.94 eV/f.u.

VASP calculation (GGA-PBE) on a relaxed structure of La5DyY12.

Lattice parameters (Å, degrees): 11.6949 10.5349 5.9607 89.99 89.98 56.29
Closest atoms and distances in Å follow each position.
Fractional coordinates of all 18 atoms:
Dy: 0.0000 0.0000 0.0000  8 Y 3.38-3.75
Y: 0.3405 0.6688 0.9585  5 Y 3.40-3.79, 3 La 3.41-3.81, 1 Dy 3.56
Y: 0.8431 0.6663 0.5416  5 La 3.42-3.83, 5 Y 3.42-3.81
Y: 0.0094 0.3312 0.9585  5 Y 3.40-3.79, 3 La 3.41-3.81, 1 Dy 3.56
Y: 0.3199 0.0000 0.0485  6 Y 3.40-3.81, 3 La 3.42-3.60, 1 Dy 3.75
Y: 0.8244 0.0000 0.4504  1 Dy 3.38, 4 Y 3.42-3.44, 2 La 3.54
Y: 0.4906 0.6663 0.4584  5 La 3.42-3.83, 5 Y 3.42-3.81
Y: 0.1756 0.0000 0.5496  1 Dy 3.38, 4 Y 3.42-3.44, 2 La 3.54
Y: 0.6595 0.3312 0.0415  5 Y 3.40-3.79, 3 La 3.41-3.81, 1 Dy 3.56
Y: 0.6802 0.0000 0.9515  6 Y 3.40-3.81, 3 La 3.42-3.60, 1 Dy 3.75
Y: 0.1569 0.3337 0.4584  5 La 3.42-3.83, 5 Y 3.42-3.81
Y: 0.5094 0.3337 0.5416  5 La 3.42-3.83, 5 Y 3.42-3.81
Y: 0.9906 0.6689 0.0415  5 Y 3.40-3.79, 3 La 3.41-3.81, 1 Dy 3.56
La: 0.6659 0.6683 0.0000  10 Y 3.42-3.83
La: 0.1637 0.6726 0.5000  10 Y 3.41-3.82
La: 0.5000 0.0000 0.5000  8 Y 3.42-3.81
La: 0.8363 0.3274 0.5000  10 Y 3.41-3.82
La: 0.3341 0.3317 0.0000  10 Y 3.42-3.83

Properties
DFT formation energy = 0.093 eV/atom
space group = C2/m, No. 12
E_tot = -5.84 eV/atom